[1]
This record from the Alexandria database describes a geometry-optimized CdBS2 structure. The functional is PBE-GGA.

Polymorph energy (0 for the lowest one) ... 0 meV/atom
Formation energy (no corrections) ... -0.24 eV per atom
Total energy ... -16.822 eV/f.u.

Unit cell a=3.3172 b=4.4575 c=10.3782 alpha=102.38 beta=78.76 gamma=90.02
With the nearest neighbours (Å) after each atom.
Element x y z (fractional)
Cd1 0.1727 0.8068 0.7295  2 S 2.66-2.71, 1 Cd 2.77
Cd2 0.7326 0.6831 0.4868  2 S 2.66-2.70, 1 Cd 2.77
B1 0.1570 0.8990 0.1962  3 S 1.85-1.99
B2 0.7435 0.3110 0.0196  3 S 1.85-1.99
S1 0.6528 0.6296 0.1791  3 B 1.91-2.07
S2 0.8114 0.3580 0.8443  1 B 1.85
S3 0.0906 0.1206 0.3716  1 B 1.85
S4 0.2473 0.0586 0.0367  3 B 1.91-2.07

[2]
This record from the Alexandria database describes a geometry-optimized CdB3S structure. The functional is PBE-GGA.

Polymorph energy (0 for the lowest one) ... 0 meV/atom
Formation energy (no corrections) ... 1.65 eV per atom
Total energy ... -16.848 eV/f.u.

Unit cell a=3.9360 b=3.9360 c=3.9360 alpha=90.00 beta=90.00 gamma=90.00
With the nearest neighbours (Å) after each atom.
Element x y z (fractional)
S1 0.0000 0.0000 0.0000  6 B 1.97
B1 0.0000 0.5000 0.0000  2 S 1.97
B2 0.0000 0.0000 0.5000  2 S 1.97
B3 0.5000 0.0000 0.0000  2 S 1.97
Cd1 0.5000 0.5000 0.5000  12 B 2.78

[3]
This record from the Alexandria database describes a geometry-optimized Cd3BS structure. The functional is PBE-GGA.

Polymorph energy (0 for the lowest one) ... 0 meV/atom
Formation energy (no corrections) ... 0.37 eV per atom
Total energy ... -11.676 eV/f.u.

Unit cell a=4.6218 b=4.6218 c=4.6218 alpha=90.00 beta=90.00 gamma=90.00
With the nearest neighbours (Å) after each atom.
Element x y z (fractional)
S1 0.5000 0.5000 0.5000  12 Cd 3.27
B1 0.0000 0.0000 0.0000  6 Cd 2.31
Cd1 0.0000 0.5000 0.0000  2 B 2.31
Cd2 0.0000 0.0000 0.5000  2 B 2.31
Cd3 0.5000 0.0000 0.0000  2 B 2.31

[4]
This record from the Alexandria database describes a geometry-optimized CdB3S structure. The functional is PBE-GGA.

Polymorph energy (0 for the lowest one) ... 686 meV/atom
Formation energy (no corrections) ... 2.33 eV per atom
Total energy ... -13.420 eV/f.u.

Unit cell a=4.3892 b=4.3892 c=4.3892 alpha=90.00 beta=90.00 gamma=90.00
With the nearest neighbours (Å) after each atom.
Element x y z (fractional)
S1 0.5000 0.5000 0.5000  12 B 3.10
B1 0.0000 0.5000 0.0000  2 Cd 2.19
B2 0.0000 0.0000 0.5000  2 Cd 2.19
B3 0.5000 0.0000 0.0000  2 Cd 2.19
Cd1 0.0000 0.0000 0.0000  6 B 2.19